CaGa2HgPt PBE-GGA relaxed; total DFT energy (no corrections) = -3.354 eV/atom
1.0
4.826 0.000 0.000
0.000 4.826 0.000
0.000 0.000 5.649
Ga Ca Hg Pt
2 1 1 1
direct
0.000 0.500 0.000
0.500 0.000 0.000
0.000 0.000 0.500
0.500 0.500 0.500
0.000 0.000 0.000

BaLaRe2 PBE-GGA relaxed; polymorph energy (0 for the lowest one) = 285 meV/atom; total DFT energy (no corrections) = -7.399 eV/atom
1.0
-5.348 2.613 -3.632
-2.404 -2.484 -6.056
1.550 -1.210 6.690
Re Ba La
2 1 1
direct
0.912 0.912 0.000
0.799 0.299 0.500
0.531 0.531 0.000
0.257 0.757 0.500

Pm2SnAu16 PBE-GGA relaxed; total DFT energy (no corrections) = -3.741 eV/atom
1.0
-1.936 -4.437 5.549
6.334 0.179 3.751
-1.825 5.181 4.904
Pm Sn Au
2 1 16
direct
0.634 0.634 0.634
0.329 0.329 0.329
0.909 0.909 0.909
0.694 0.002 0.312
0.002 0.312 0.694
0.312 0.694 0.002
0.002 0.694 0.312
0.694 0.312 0.002
0.312 0.002 0.694
0.348 0.869 0.348
0.869 0.348 0.348
0.348 0.348 0.869
0.627 0.194 0.627
0.194 0.627 0.627
0.627 0.627 0.194
0.988 0.523 0.988
0.523 0.988 0.988
0.988 0.988 0.523
0.104 0.104 0.104

RbY2CrBr PBE-GGA relaxed; total DFT energy (no corrections) = -4.324 eV/atom; formation energy without anion corrections = 0.714 eV per atom
1.0
5.713 0.000 0.000
0.000 4.505 0.000
0.000 0.000 5.713
Y Cr Br Rb
2 1 1 1
direct
0.000 0.000 0.500
0.500 0.000 0.000
0.000 0.500 0.000
0.000 0.000 0.000
0.500 0.500 0.500

LiCaRh2C PBE-GGA relaxed; polymorph energy (0 for the lowest one) = 0 meV/atom; total DFT energy (no corrections) = -5.849 eV/atom
1.0
4.091 0.000 0.000
0.000 4.091 0.000
0.000 0.000 4.364
Ca Rh C Li
1 2 1 1
direct
0.500 0.500 0.500
0.000 0.500 0.000
0.500 0.000 0.000
0.000 0.000 0.000
0.000 0.000 0.500

Li4ZnP2S8 PBE-GGA relaxed; total DFT energy (no corrections) = -4.311 eV/atom; formation energy without anion corrections = -0.793 eV per atom
1.0
6.128 0.000 0.004
-0.014 8.087 0.003
-0.030 -0.036 19.058
Li Zn P S
12 3 6 24
direct
0.992 0.757 0.106
0.997 0.758 0.764
0.491 0.755 0.567
0.497 0.746 0.894
0.999 0.250 0.111
0.997 0.251 0.427
0.493 0.258 0.243
0.502 0.243 0.558
0.490 0.256 0.894
0.488 0.010 0.056
0.991 0.490 0.612
0.991 0.506 0.947
0.003 0.761 0.436
0.502 0.742 0.236
0.000 0.230 0.765
0.989 0.986 0.272
0.014 0.009 0.605
0.005 0.998 0.939
0.505 0.498 0.063
0.491 0.518 0.397
0.485 0.489 0.726
0.884 0.766 0.228
0.893 0.790 0.558
0.893 0.789 0.889
0.394 0.714 0.112
0.387 0.736 0.443
0.388 0.700 0.773
0.879 0.199 0.230
0.899 0.214 0.553
0.893 0.212 0.887
0.395 0.292 0.114
0.387 0.302 0.438
0.384 0.269 0.771
0.326 0.991 0.260
0.340 0.005 0.611
0.340 0.000 0.936
0.840 0.500 0.064
0.830 0.516 0.401
0.832 0.486 0.735
0.894 0.008 0.040
0.881 0.992 0.375
0.865 0.002 0.703
0.371 0.513 0.295
0.399 0.492 0.622
0.394 0.503 0.960

Ac2TbSmTm PBE-GGA relaxed; total DFT energy (no corrections) = -4.136 eV/atom
1.0
6.703 0.000 0.000
0.000 8.804 1.617
0.000 -1.160 6.309
Ac Tb Sm Tm
4 2 2 2
direct
0.711 0.704 0.750
0.711 0.296 0.750
0.289 0.704 0.250
0.289 0.296 0.250
0.183 0.500 0.750
0.817 0.500 0.250
0.584 0.000 0.250
0.416 0.000 0.750
0.000 0.000 0.000
0.000 0.000 0.500

La2SmRu PBE-GGA relaxed; polymorph energy (0 for the lowest one) = 182 meV/atom; total DFT energy (no corrections) = -6.009 eV/atom
1.0
3.556 0.000 0.000
0.000 3.556 0.000
0.000 0.000 9.532
Ru Sm La
1 1 2
direct
0.500 0.500 0.000
0.500 0.500 0.500
0.000 0.000 0.819
0.000 0.000 0.181

ReTeP2Cl PBE-GGA relaxed; polymorph energy (0 for the lowest one) = 1367 meV/atom; total DFT energy (no corrections) = -3.813 eV/atom; formation energy without anion corrections = 1.838 eV per atom
1.0
-0.863 -3.845 3.290
-0.675 -3.220 -3.941
4.870 -1.064 0.035
Re Te P Cl
1 1 2 1
direct
0.500 0.500 0.500
0.000 0.000 0.000
0.000 0.500 0.000
0.500 0.000 0.000
0.000 0.000 0.500

AcTb2Pr5Ho PBE-GGA relaxed; total DFT energy (no corrections) = -4.509 eV/atom
1.0
5.616 0.000 0.000
-2.808 12.334 0.000
0.000 0.000 9.558
Ac Tb Pr Ho
2 4 10 2
direct
0.602 0.204 0.927
0.398 0.796 0.427
0.888 0.776 0.782
0.174 0.348 0.677
0.112 0.224 0.282
0.826 0.652 0.177
0.393 0.786 0.032
0.741 0.483 0.861
0.476 0.952 0.754
0.310 0.619 0.721
0.010 0.020 0.536
0.607 0.214 0.532
0.259 0.517 0.361
0.524 0.048 0.254
0.690 0.381 0.221
0.990 0.980 0.036
0.763 0.527 0.534
0.237 0.473 0.034

PmCd4Ge PBE-GGA relaxed; total DFT energy (no corrections) = -2.214 eV/atom
1.0
-1.993 5.012 2.367
-4.450 2.896 -2.550
-5.291 0.136 2.585
Ge Cd Pm
1 4 1
direct
0.000 0.000 0.000
0.625 0.625 0.124
0.625 0.124 0.625
0.625 0.625 0.625
0.124 0.625 0.625
0.250 0.250 0.250

KAcSnBr6 PBE-GGA relaxed; total DFT energy (no corrections) = -3.671 eV/atom; formation energy without anion corrections = -1.533 eV per atom
1.0
-0.216 -4.922 5.391
0.171 -5.395 -4.919
14.105 -0.037 0.532
K Ac Sn Br
2 2 2 12
direct
0.500 0.500 0.498
0.000 0.000 0.998
0.500 0.500 0.833
0.000 0.000 0.333
0.500 0.500 0.166
0.000 0.000 0.666
0.184 0.816 0.503
0.816 0.184 0.503
0.316 0.316 0.003
0.684 0.684 0.003
0.207 0.793 0.178
0.793 0.207 0.178
0.293 0.293 0.678
0.707 0.707 0.678
0.795 0.205 0.821
0.205 0.795 0.821
0.705 0.705 0.321
0.295 0.295 0.321

| no. | total magnetization (μB per formula unit) |
| --- | --- |
| 1 | 0.00 |
| 2 | 0.00 |
| 3 | 0.00 |
| 4 | 0.00 |
| 5 | 0.00 |
| 6 | 0.00 |
| 7 | 0.00 |
| 8 | 0.00 |
| 9 | 4.07 |
| 10 | 0.00 |
| 11 | 0.00 |
| 12 | 0.00 |